# 1
This record from the Alexandria database describes crystalline ThZnBiAu at its relaxed geometry. The functional is PBE.

Results
SG: F-43m (216)
Raw total energy: -4.27 eV/atom
Formation enthalpy at 0 K: -0.309 eV per atom

Lattice parameters (Å, degrees): 7.3042 7.3042 7.3042 90.00 90.00 90.00
Fractional coordinates of all 16 atoms:
Th  0.0000  0.0000  0.0000
Th  0.0000  0.5000  0.5000
Th  0.5000  0.0000  0.5000
Th  0.5000  0.5000  0.0000
Zn  0.2500  0.2500  0.2500
Zn  0.2500  0.7500  0.7500
Zn  0.7500  0.2500  0.7500
Zn  0.7500  0.7500  0.2500
Bi  0.0000  0.0000  0.5000
Bi  0.0000  0.5000  0.0000
Bi  0.5000  0.0000  0.0000
Bi  0.5000  0.5000  0.5000
Au  0.2500  0.2500  0.7500
Au  0.2500  0.7500  0.2500
Au  0.7500  0.2500  0.2500
Au  0.7500  0.7500  0.7500

# 2
This record from the Alexandria database describes crystalline TiBiAu2 at its relaxed geometry. The functional is PBE.

Results
SG: I-42d (122)
Raw total energy: -4.58 eV/atom
Formation enthalpy at 0 K: -0.001 eV per atom

Lattice parameters (Å, degrees): 7.8260 7.8260 5.6934 90.00 90.00 90.00
Fractional coordinates of all 16 atoms:
Ti  0.0000  0.0000  0.0000
Ti  0.0000  0.5000  0.2500
Ti  0.5000  0.0000  0.7500
Ti  0.5000  0.5000  0.5000
Bi  0.0000  0.0000  0.5000
Bi  0.0000  0.5000  0.7500
Bi  0.5000  0.0000  0.2500
Bi  0.5000  0.5000  0.0000
Au  0.2267  0.2500  0.1250
Au  0.2500  0.7267  0.3750
Au  0.2500  0.7733  0.8750
Au  0.2733  0.2500  0.6250
Au  0.7267  0.7500  0.6250
Au  0.7500  0.2267  0.8750
Au  0.7500  0.2733  0.3750
Au  0.7733  0.7500  0.1250